# 1
Density functional theory data (PBE) for a relaxed structure of Cd2As.

```
Cd2As
1.0
5.3241 -1.5224 0.0000
5.3241 1.5224 0.0000
-2.8069 0.0000 8.3720
Cd As
4 2
Direct
0.1481 0.1481 0.0427 Cd
0.1569 0.1569 0.6076 Cd
0.8431 0.8431 0.3924 Cd
0.8519 0.8519 0.9573 Cd
0.4435 0.4435 0.7130 As
0.5565 0.5565 0.2870 As
```

Properties
Energy above the most stable polymorph in this dataset   102 meV per atom
Theoretical density   7.3 g/cm3
SG   C2/m, No. 12

# 2
Density functional theory data (PBE) for a relaxed structure of Cd2As.

```
Cd2As
1.0
6.1707 0.0000 0.0000
-3.0854 5.3440 0.0000
0.0000 0.0000 9.4414
Cd As
8 4
Direct
0.0000 0.0000 0.0000 Cd
0.0000 0.0000 0.5000 Cd
0.1664 0.3328 0.2500 Cd
0.1664 0.8336 0.2500 Cd
0.3328 0.1664 0.7500 Cd
0.6672 0.8336 0.2500 Cd
0.8336 0.1664 0.7500 Cd
0.8336 0.6672 0.7500 Cd
0.3333 0.6667 0.0282 As
0.3333 0.6667 0.4718 As
0.6667 0.3333 0.5282 As
0.6667 0.3333 0.9718 As
```

Properties
Energy above the most stable polymorph in this dataset   248 meV per atom
Theoretical density   6.4 g/cm3
SG   P6_3/mmc, No. 194

# 3
Density functional theory data (PBE) for a relaxed structure of CdAs2.

```
CdAs2
1.0
-4.0691 4.0691 2.3808
4.0691 -4.0691 2.3808
4.0691 4.0691 -2.3808
Cd As
2 4
Direct
0.0000 0.0000 0.0000 Cd
0.7500 0.2500 0.5000 Cd
0.3134 0.1250 0.6884 As
0.3750 0.5634 0.6884 As
0.4366 0.6250 0.3116 As
0.8750 0.6866 0.3116 As
```

Properties
Theoretical density   5.5 g/cm3
SG   I4_122, No. 98

# 4
Density functional theory data (PBE) for a relaxed structure of CdAs2.

```
CdAs2
1.0
-1.7788 1.7788 10.8612
1.7788 -1.7788 10.8612
1.7788 1.7788 -10.8612
Cd As
2 4
Direct
0.3750 0.6250 0.7500 Cd
0.6250 0.3750 0.2500 Cd
0.0400 0.7900 0.2500 As
0.2100 0.9600 0.2500 As
0.7900 0.0400 0.7500 As
0.9600 0.2100 0.7500 As
```

Properties
Theoretical density   6.3 g/cm3
SG   I4_1/amd, No. 141

# 5
Density functional theory data (PBE) for a relaxed structure of Cd2As.

```
Cd2As
1.0
4.3154 0.0000 0.0000
0.0000 4.3154 0.0000
0.0000 0.0000 3.9440
Cd As
2 1
Direct
0.0000 0.5000 0.0000 Cd
0.5000 0.0000 0.0000 Cd
0.0000 0.0000 0.5000 As
```

Properties
Energy above the most stable polymorph in this dataset   79 meV per atom
Theoretical density   6.8 g/cm3
SG   P4/mmm, No. 123

# 6
Density functional theory data (PBE) for a relaxed structure of Cd5As.

```
Cd5As
1.0
7.6211 -1.5561 0.0000
7.6211 1.5561 0.0000
-2.5272 0.0000 5.8251
Cd As
5 1
Direct
0.0000 0.0000 0.0000 Cd
0.0033 0.0033 0.4836 Cd
0.3322 0.3322 0.0786 Cd
0.3512 0.3512 0.5938 Cd
0.6689 0.6689 0.4031 Cd
0.6528 0.6528 0.8961 As
```

Properties
Energy above the most stable polymorph in this dataset   3 meV per atom
Theoretical density   7.7 g/cm3
SG   Cm, No. 8

# 7
Density functional theory data (PBE) for a relaxed structure of Cd3As5.

```
Cd3As5
1.0
8.4707 0.0000 0.0000
-4.2353 7.3358 0.0000
0.0000 0.0000 6.0639
Cd As
6 10
Direct
0.0000 0.4366 0.2500 Cd
0.0000 0.5634 0.7500 Cd
0.4366 0.0000 0.2500 Cd
0.4366 0.4366 0.7500 Cd
0.5634 0.0000 0.7500 Cd
0.5634 0.5634 0.2500 Cd
0.0000 0.1677 0.7500 As
0.0000 0.8323 0.2500 As
0.1677 0.0000 0.7500 As
0.1677 0.1677 0.2500 As
0.3333 0.6667 0.0000 As
0.3333 0.6667 0.5000 As
0.6667 0.3333 0.0000 As
0.6667 0.3333 0.5000 As
0.8323 0.0000 0.2500 As
0.8323 0.8323 0.7500 As
```

Properties
Energy above the most stable polymorph in this dataset   0 meV per atom
Theoretical density   6.3 g/cm3
SG   P6_3/mcm, No. 193

# 8
Density functional theory data (PBE) for a relaxed structure of CdAs2.

```
CdAs2
1.0
5.4259 -1.8078 0.0000
5.4259 1.8078 0.0000
-5.2745 0.0000 7.5302
Cd As
2 4
Direct
0.1592 0.1592 0.1577 Cd
0.8408 0.8408 0.8423 Cd
0.0783 0.0783 0.4373 As
0.4414 0.4414 0.2119 As
0.5586 0.5586 0.7881 As
0.9217 0.9217 0.5627 As
```

Properties
Theoretical density   5.9 g/cm3
SG   C2/m, No. 12

The records above yield density of states at the Fermi level values of 1.245, 4.977, 0.078, 3.670, 1.372, 1.490, 6.902, 1.785 states/eV/cell, respectively.
The records above yield formation energy from the elements values of 103, 249, -89, 192, 80, 59, 230, 82 meV/atom, respectively.
The records above yield VASP energy values of -2.06, -1.91, -3.49, -3.21, -2.08, -1.48, -3.02, -3.32 eV/atom, respectively.